Run w
CsSbPd: optimized geometry, GGA-PBE.

Space group   F-43m (216)

abc: 5.2064 5.2064 5.2064
angles: 60.00 60.00 60.00
Closest atoms and distances in Å follow each position.
Atoms (fractional coordinates):
Cs: 0.2500 0.2500 0.2500  4 Pd 3.19
Pd: 0.0000 0.0000 0.0000  4 Cs 3.19, 4 Sb 3.19
Sb: 0.7500 0.7500 0.7500  4 Pd 3.19

***

Run x
CsSbPd: optimized geometry, GGA-PBE.

Space group   F-43m (216)

abc: 5.4983 5.4983 5.4983
angles: 60.00 60.00 60.00
Closest atoms and distances in Å follow each position.
Atoms (fractional coordinates):
Cs: 0.0000 0.0000 0.0000  4 Pd 3.37, 4 Sb 3.37
Pd: 0.2500 0.2500 0.2500  4 Cs 3.37
Sb: 0.7500 0.7500 0.7500  4 Cs 3.37

***

Bottom line: run w, by a margin of 0.716 eV/atom.

***

Run w
CsScPd: optimized geometry, GGA-PBE.

Total magnetic moment   0.0 μB per formula unit
Space group   F-43m (216)

abc: 5.1258 5.1258 5.1258
angles: 60.00 60.00 60.00
Closest atoms and distances in Å follow each position.
Atoms (fractional coordinates):
Cs: 0.2500 0.2500 0.2500  4 Pd 3.14
Pd: 0.0000 0.0000 0.0000  4 Cs 3.14, 4 Sc 3.14
Sc: 0.7500 0.7500 0.7500  4 Pd 3.14

***

Run x
CsScPd: optimized geometry, GGA-PBE.

Total magnetic moment   0.0 μB per formula unit
Space group   F-43m (216)

abc: 4.9164 4.9164 4.9164
angles: 60.00 60.00 60.00
Closest atoms and distances in Å follow each position.
Atoms (fractional coordinates):
Cs: 0.0000 0.0000 0.0000  4 Sc 3.01, 4 Pd 3.01
Pd: 0.2500 0.2500 0.2500  4 Cs 3.01
Sc: 0.7500 0.7500 0.7500  4 Cs 3.01

***

Bottom line: run w, by a margin of 0.544 eV/atom.

***

Run w
CsSmPdSe3: optimized geometry, GGA-PBE.

Total magnetic moment   0.7 μB per formula unit
Space group   Cmcm (63)

abc: 8.1533 8.1533 11.2304
angles: 90.00 90.00 149.72
Closest atoms and distances in Å follow each position.
Atoms (fractional coordinates):
Cs: 0.7568 0.2432 0.2500  8 Se 3.71-3.93, 2 Pd 4.08
Cs: 0.2432 0.7568 0.7500  8 Se 3.71-3.93, 2 Pd 4.08
Pd: 0.0359 0.9641 0.2500  4 Se 2.50-2.56
Pd: 0.9641 0.0359 0.7500  4 Se 2.50-2.56
Se: 0.1222 0.8778 0.0564  1 Pd 2.56
Se: 0.4522 0.5478 0.2500  2 Pd 2.50
Se: 0.1222 0.8778 0.4436  1 Pd 2.56
Se: 0.8778 0.1222 0.5564  1 Pd 2.56
Se: 0.5478 0.4522 0.7500  2 Pd 2.50
Se: 0.8778 0.1222 0.9436  1 Pd 2.56
Sm: 0.5000 0.5000 0.0000  6 Se 2.91-2.94
Sm: 0.5000 0.5000 0.5000  6 Se 2.91-2.94

***

Run x
CsSmPdSe3: optimized geometry, GGA-PBE.

Total magnetic moment   0.0 μB per formula unit
Space group   Cmcm (63)

abc: 8.9495 8.9495 10.0167
angles: 90.00 90.00 151.93
Closest atoms and distances in Å follow each position.
Atoms (fractional coordinates):
Cs: 0.7472 0.2528 0.2500  6 Se 3.59-3.69
Cs: 0.2528 0.7472 0.7500  6 Se 3.59-3.69
Pd: 0.9983 0.0017 0.2500  4 Se 2.49-2.64
Pd: 0.0017 0.9983 0.7500  4 Se 2.49-2.64
Se: 0.1047 0.8953 0.0835  1 Pd 2.49
Se: 0.4120 0.5880 0.2500  2 Pd 2.64, 2 Sm 2.93
Se: 0.1047 0.8953 0.4165  1 Pd 2.49
Se: 0.8953 0.1047 0.5835  1 Pd 2.49
Se: 0.5880 0.4120 0.7500  2 Pd 2.64, 2 Sm 2.93
Se: 0.8953 0.1047 0.9165  1 Pd 2.49
Sm: 0.5000 0.5000 0.0000  6 Se 2.93-2.95
Sm: 0.5000 0.5000 0.5000  6 Se 2.93-2.95

***

Bottom line: run x, by a margin of 0.015 eV/atom.

***

Run w
CsTmPdSe3: optimized geometry, GGA-PBE.

Total magnetic moment   0.0 μB per formula unit
Space group   P2_1/m (11)

abc: 9.5732 4.1531 10.1347
angles: 90.00 113.06 90.00
Closest atoms and distances in Å follow each position.
Atoms (fractional coordinates):
Cs: 0.7208 0.7500 0.2484  7 Se 3.61-3.78
Cs: 0.2792 0.2500 0.7516  7 Se 3.61-3.78
Pd: 0.4178 0.2500 0.4064  4 Se 2.49-2.61
Pd: 0.5822 0.7500 0.5936  4 Se 2.49-2.61
Se: 0.3786 0.2500 0.1363  1 Pd 2.61, 2 Tm 2.84
Se: 0.9800 0.2500 0.1598  3 Tm 2.77-2.88
Se: 0.2965 0.7500 0.4470  3 Pd 2.49-2.55
Se: 0.7035 0.2500 0.5530  3 Pd 2.49-2.55
Se: 0.0200 0.7500 0.8402  3 Tm 2.77-2.88
Se: 0.6214 0.7500 0.8637  1 Pd 2.61, 2 Tm 2.84
Tm: 0.1766 0.7500 0.1354  6 Se 2.77-2.91
Tm: 0.8234 0.2500 0.8646  6 Se 2.77-2.91

***

Run x
CsTmPdSe3: optimized geometry, GGA-PBE.

Total magnetic moment   0.0 μB per formula unit
Space group   Cmcm (63)

abc: 8.5458 8.5458 10.2458
angles: 90.00 90.00 152.26
Closest atoms and distances in Å follow each position.
Atoms (fractional coordinates):
Cs: 0.7509 0.2491 0.2500  8 Se 3.56-3.92
Cs: 0.2491 0.7509 0.7500  8 Se 3.56-3.92
Pd: 0.4838 0.5162 0.2500  4 Se 2.52-2.55
Pd: 0.5162 0.4838 0.7500  4 Se 2.52-2.55
Se: 0.3868 0.6132 0.0612  1 Pd 2.52
Se: 0.0754 0.9246 0.2500  2 Pd 2.55, 2 Tm 2.85
Se: 0.3868 0.6132 0.4388  1 Pd 2.52
Se: 0.6132 0.3868 0.5612  1 Pd 2.52
Se: 0.9246 0.0754 0.7500  2 Pd 2.55, 2 Tm 2.85
Se: 0.6132 0.3868 0.9388  1 Pd 2.52
Tm: 0.0000 0.0000 0.0000  6 Se 2.85
Tm: 0.0000 0.0000 0.5000  6 Se 2.85

***

Bottom line: run w, by a margin of 0.005 eV/atom.